Computed, not measured: a geometry-optimized BeRuI2O structure at the PBE-GGA level of DFT.

a b c (Å): 6.0772 6.0772 2.9411
angles (deg): 90.00 90.00 90.00
Closest atoms and distances in Å follow each position.
Space group P4/mmm (No. 123)
Unique sites:
Be: 0.0000 0.0000 0.0000 [1 per cell]  2 O 1.47
Ru: 0.5000 0.5000 0.5000 [1 per cell]  2 Ru 2.94
I: 0.0000 0.5000 0.0000 [2 per cell]  2 I 2.94, 2 Be 3.04
O: 0.0000 0.0000 0.5000 [1 per cell]  2 Be 1.47

As for the density of states at the Fermi level: 4.43 states/eV per cell. The calculation puts the volume at 21.724 Å³/atom. Its polymorph energy (0 for the lowest one) is 0 meV per atom. Its formation energy from raw total energies is -0.04 eV/atom.

---

Computed, not measured: a geometry-optimized BeRuIO2 structure at the PBE-GGA level of DFT.

a b c (Å): 3.7180 3.7180 8.1363
angles (deg): 90.00 90.00 90.00
Closest atoms and distances in Å follow each position.
Space group P4/mmm (No. 123)
Unique sites:
Be: 0.0000 0.0000 0.0000 [1 per cell]  4 I 2.63
Ru: 0.5000 0.5000 0.5000 [1 per cell]  4 O 1.86
I: 0.5000 0.5000 0.0000 [1 per cell]  4 Be 2.63
O: 0.0000 0.5000 0.5000 [2 per cell]  2 Ru 1.86

As for the density of states at the Fermi level: 2.24 states/eV per cell. The calculation puts the volume at 22.494 Å³/atom. Its polymorph energy (0 for the lowest one) is 0 meV per atom. Its formation energy from raw total energies is -0.11 eV/atom.

---

Computed, not measured: a geometry-optimized BeRuI2O structure at the PBE-GGA level of DFT.

a b c (Å): 5.4967 5.4967 3.7386
angles (deg): 90.00 90.00 90.00
Closest atoms and distances in Å follow each position.
Space group P4/mmm (No. 123)
Unique sites:
Be: 0.0000 0.0000 0.0000 [1 per cell]  8 I 3.32
Ru: 0.5000 0.5000 0.5000 [1 per cell]  2 O 1.87
I: 0.0000 0.5000 0.5000 [2 per cell]  2 Ru 2.75
O: 0.5000 0.5000 0.0000 [1 per cell]  2 Ru 1.87

As for the density of states at the Fermi level: 4.41 states/eV per cell. The calculation puts the volume at 22.591 Å³/atom. Its polymorph energy (0 for the lowest one) is 338 meV per atom. Its formation energy from raw total energies is 0.30 eV/atom.

---

Computed, not measured: a geometry-optimized Be2SIO structure at the PBE-GGA level of DFT.

a b c (Å): 4.4217 4.4217 3.6772
angles (deg): 90.00 90.00 90.00
Closest atoms and distances in Å follow each position.
Space group P4/mmm (No. 123)
Unique sites:
Be: 0.0000 0.5000 0.0000 [2 per cell]  2 S 2.21
S: 0.0000 0.0000 0.0000 [1 per cell]  2 O 1.84
I: 0.5000 0.5000 0.5000 [1 per cell]  8 Be 2.88, 4 O 3.13
O: 0.0000 0.0000 0.5000 [1 per cell]  2 S 1.84

As for the density of states at the Fermi level: 0.92 states/eV per cell. The calculation puts the volume at 14.379 Å³/atom. Its formation energy from raw total energies is 0.26 eV/atom.

---

Computed, not measured: a geometry-optimized BeSIO2 structure at the PBE-GGA level of DFT.

a b c (Å): 3.6135 3.6135 7.1980
angles (deg): 90.00 90.00 90.00
Closest atoms and distances in Å follow each position.
Space group P4/mmm (No. 123)
Unique sites:
Be: 0.0000 0.0000 0.0000 [1 per cell]  4 I 2.56
S: 0.5000 0.5000 0.5000 [1 per cell]  4 O 1.81
I: 0.5000 0.5000 0.0000 [1 per cell]  4 Be 2.56
O: 0.0000 0.5000 0.5000 [2 per cell]  2 S 1.81

As for the density of states at the Fermi level: 2.49 states/eV per cell. The calculation puts the volume at 18.797 Å³/atom. Its formation energy from raw total energies is 0.30 eV/atom.

---

Computed, not measured: a geometry-optimized BeSI2O structure at the PBE-GGA level of DFT.

a b c (Å): 5.6102 5.6102 3.6070
angles (deg): 90.00 90.00 90.00
Closest atoms and distances in Å follow each position.
Space group P4/mmm (No. 123)
Unique sites:
Be: 0.0000 0.0000 0.0000 [1 per cell]  8 I 3.33, 2 Be 3.61
S: 0.5000 0.5000 0.5000 [1 per cell]  2 O 1.80
I: 0.0000 0.5000 0.5000 [2 per cell]  2 S 2.81
O: 0.5000 0.5000 0.0000 [1 per cell]  2 S 1.80

As for the density of states at the Fermi level: 1.78 states/eV per cell. The calculation puts the volume at 22.706 Å³/atom. Its polymorph energy (0 for the lowest one) is 907 meV per atom. Its formation energy from raw total energies is 0.61 eV/atom.

---

Computed, not measured: a geometry-optimized BeSI2O structure at the PBE-GGA level of DFT.

a b c (Å): 6.4360 6.4360 2.8915
angles (deg): 90.00 90.00 90.00
Closest atoms and distances in Å follow each position.
Space group P4/mmm (No. 123)
Unique sites:
Be: 0.0000 0.0000 0.0000 [1 per cell]  2 O 1.45
S: 0.5000 0.5000 0.5000 [1 per cell]  2 S 2.89
I: 0.0000 0.5000 0.0000 [2 per cell]  2 I 2.89, 2 Be 3.22
O: 0.0000 0.0000 0.5000 [1 per cell]  2 Be 1.45

As for the density of states at the Fermi level: 3.71 states/eV per cell. The calculation puts the volume at 23.955 Å³/atom. Its polymorph energy (0 for the lowest one) is 0 meV per atom. Its formation energy from raw total energies is -0.29 eV/atom.

---

Computed, not measured: a geometry-optimized BeSIO2 structure at the PBE-GGA level of DFT.

a b c (Å): 3.6199 3.6199 6.9830
angles (deg): 90.00 90.00 90.00
Closest atoms and distances in Å follow each position.
Space group P4/mmm (No. 123)
Unique sites:
Be: 0.0000 0.0000 0.0000 [1 per cell]  4 O 1.81
S: 0.5000 0.5000 0.5000 [1 per cell]  4 I 2.56
I: 0.0000 0.0000 0.5000 [1 per cell]  4 S 2.56
O: 0.0000 0.5000 0.0000 [2 per cell]  2 Be 1.81

As for the density of states at the Fermi level: 4.15 states/eV per cell. The calculation puts the volume at 18.301 Å³/atom. Its formation energy from raw total energies is 0.00 eV/atom.